## i
! BaZrSc (GGA-PBEsol, relaxed); values from VASP
! Density of states at the Fermi level in states/eV/f.u.: 5.81
! Size of the total moment in μB/atom: 0.36
&SYSTEM
  ibrav = 0, nat = 3, ntyp = 3
/
ATOMIC_SPECIES
Ba 137.33 Ba.upf
Sc 44.96 Sc.upf
Zr 91.22 Zr.upf
CELL_PARAMETERS angstrom
5.017 0.000 0.000
2.509 4.345 0.000
2.509 1.448 4.096
ATOMIC_POSITIONS crystal
Ba 0.250 0.250 0.250
Sc 0.000 0.000 0.000
Zr 0.500 0.500 0.500



## ii
! BaZrSc (GGA-PBEsol, relaxed); values from VASP
! Density of states at the Fermi level in states/eV/f.u.: 4.44
! Size of the total moment in μB/atom: 0.00
&SYSTEM
  ibrav = 0, nat = 3, ntyp = 3
/
ATOMIC_SPECIES
Ba 137.33 Ba.upf
Sc 44.96 Sc.upf
Zr 91.22 Zr.upf
CELL_PARAMETERS angstrom
3.432 0.000 0.000
0.000 4.466 0.000
-1.716 -2.233 5.775
ATOMIC_POSITIONS crystal
Ba 0.000 0.000 0.000
Sc 0.694 0.694 0.389
Zr 0.306 0.306 0.612



Stability verdict: ii, ahead by 904 meV/atom



## i
! BaSr2Se (GGA-PBEsol, relaxed); values from VASP
! Density of states at the Fermi level in states/eV/f.u.: 4.73
! Size of the total moment in μB/atom: 0.00
&SYSTEM
  ibrav = 0, nat = 4, ntyp = 3
/
ATOMIC_SPECIES
Ba 137.33 Ba.upf
Se 78.96 Se.upf
Sr 87.62 Sr.upf
CELL_PARAMETERS angstrom
6.010 0.000 0.000
3.005 5.205 0.000
3.005 1.735 4.907
ATOMIC_POSITIONS crystal
Ba 0.500 0.500 0.500
Se 0.250 0.250 0.250
Sr 0.000 0.000 0.000
Sr 0.750 0.750 0.750



## ii
! BaSr2Se (GGA-PBEsol, relaxed); values from VASP
! Density of states at the Fermi level in states/eV/f.u.: 3.36
! Size of the total moment in μB/atom: 0.00
&SYSTEM
  ibrav = 0, nat = 4, ntyp = 3
/
ATOMIC_SPECIES
Ba 137.33 Ba.upf
Se 78.96 Se.upf
Sr 87.62 Sr.upf
CELL_PARAMETERS angstrom
-2.371 -1.715 -3.182
-0.545 -4.283 -0.222
-10.080 -1.170 5.205
ATOMIC_POSITIONS crystal
Ba 0.526 0.526 0.423
Se 0.254 0.254 0.239
Sr 0.973 0.973 0.080
Sr 0.747 0.747 0.758



Stability verdict: ii, ahead by 607 meV/atom



## i
! BaSr2Se2 (GGA-PBEsol, relaxed); values from VASP
! Density of states at the Fermi level in states/eV/f.u.: 1.72
! Size of the total moment in μB/atom: 0.00
&SYSTEM
  ibrav = 0, nat = 5, ntyp = 3
/
ATOMIC_SPECIES
Sr 87.62 Sr.upf
Ba 137.33 Ba.upf
Se 78.96 Se.upf
CELL_PARAMETERS angstrom
-1.107 -5.019 -2.195
2.375 -2.457 4.421
-6.051 3.676 1.763
ATOMIC_POSITIONS crystal
Sr 0.333 0.333 0.667
Sr 0.667 0.667 0.333
Ba 0.000 0.000 0.000
Se 0.250 0.750 0.500
Se 0.750 0.250 0.500



## ii
! BaSr2Se2 (GGA-PBEsol, relaxed); values from VASP
! Density of states at the Fermi level in states/eV/f.u.: 2.53
! Size of the total moment in μB/atom: 0.00
&SYSTEM
  ibrav = 0, nat = 5, ntyp = 3
/
ATOMIC_SPECIES
Ba 137.33 Ba.upf
Se 78.96 Se.upf
Sr 87.62 Sr.upf
CELL_PARAMETERS angstrom
-1.033 -3.919 2.595
-1.934 -2.067 -3.892
7.910 0.175 -1.048
ATOMIC_POSITIONS crystal
Ba 0.000 0.000 0.000
Se 0.617 0.617 0.233
Se 0.383 0.383 0.767
Sr 0.250 0.750 0.500
Sr 0.750 0.250 0.500



Stability verdict: i, ahead by 88 meV/atom



## i
! BaTcSe2 (GGA-PBEsol, relaxed); values from VASP
! Density of states at the Fermi level in states/eV/f.u.: 3.68
! Size of the total moment in μB/atom: 0.24
&SYSTEM
  ibrav = 0, nat = 4, ntyp = 3
/
ATOMIC_SPECIES
Ba 137.33 Ba.upf
Se 78.96 Se.upf
Tc 98.00 Tc.upf
CELL_PARAMETERS angstrom
-1.765 2.817 1.953
-5.400 0.092 -1.207
-3.096 -2.122 4.066
ATOMIC_POSITIONS crystal
Ba 0.000 0.500 0.500
Se 0.185 0.815 0.815
Se 0.815 0.185 0.185
Tc 0.500 0.000 0.000



## ii
! BaTcSe2 (GGA-PBEsol, relaxed); values from VASP
! Density of states at the Fermi level in states/eV/f.u.: 1.97
! Size of the total moment in μB/atom: 0.74
&SYSTEM
  ibrav = 0, nat = 4, ntyp = 3
/
ATOMIC_SPECIES
Ba 137.33 Ba.upf
Se 78.96 Se.upf
Tc 98.00 Tc.upf
CELL_PARAMETERS angstrom
3.753 0.000 0.000
0.000 4.158 0.124
0.000 -0.288 6.915
ATOMIC_POSITIONS crystal
Ba 0.500 0.500 0.000
Se 0.000 0.993 0.743
Se 0.000 0.007 0.257
Tc 0.500 0.000 0.500



Stability verdict: i, ahead by 62 meV/atom